Material: BaSrIn2Pd
Method: DFT, PBE
State: optimized geometry

Values from the calculation:
V ... 316.2 Å³ per cell
E ... -32.788 eV for the cell shown
SG ... I4mm, No. 107

a = 5.465 Å, b = 5.465 Å, c = 10.585 Å
α = 90.00°, β = 90.00°, γ = 90.00°
Sites, in units of the cell vectors:
1 Ba 0.000 0.000 0.000
2 Ba 0.500 0.500 0.500
3 Sr 0.000 0.000 0.568
4 Sr 0.500 0.500 0.068
5 In 0.000 0.500 0.281
6 In 0.000 0.500 0.781
7 In 0.500 0.000 0.281
8 In 0.500 0.000 0.781
9 Pd 0.000 0.000 0.293
10 Pd 0.500 0.500 0.793

---

Material: BaSrIn4Pd2
Method: DFT, PBE
State: optimized geometry

Values from the calculation:
V ... 416.1 Å³ per cell
E ... -59.116 eV for the cell shown
SG ... Amm2, No. 38

a = 8.113 Å, b = 4.622 Å, c = 11.097 Å
α = 90.00°, β = 90.00°, γ = 90.00°
Sites, in units of the cell vectors:
1 Ba 0.000 0.000 0.000
2 Ba 0.000 0.500 0.500
3 Sr 0.500 0.000 0.119
4 Sr 0.500 0.500 0.619
5 In 0.200 0.000 0.714
6 In 0.200 0.500 0.214
7 In 0.309 0.000 0.404
8 In 0.309 0.500 0.904
9 In 0.691 0.000 0.404
10 In 0.691 0.500 0.904
11 In 0.800 0.000 0.714
12 In 0.800 0.500 0.214
13 Pd 0.000 0.000 0.279
14 Pd 0.000 0.500 0.779
15 Pd 0.500 0.000 0.840
16 Pd 0.500 0.500 0.340

---

Material: BaTbIn2Pd4
Method: DFT, PBE
State: optimized geometry

Values from the calculation:
V ... 183.5 Å³ per cell
E ... -38.407 eV for the cell shown
SG ... P-6m2, No. 187

a = 4.650 Å, b = 4.650 Å, c = 9.796 Å
α = 90.00°, β = 90.00°, γ = 120.00°
Sites, in units of the cell vectors:
1 Ba 0.000 0.000 0.000
2 Tb 0.667 0.333 0.500
3 In 0.333 0.667 0.275
4 In 0.333 0.667 0.725
5 Pd 0.000 0.000 0.350
6 Pd 0.000 0.000 0.650
7 Pd 0.667 0.333 0.210
8 Pd 0.667 0.333 0.790

---

Material: BaYIn4Pd2
Method: DFT, PBE
State: optimized geometry

Values from the calculation:
V ... 393.3 Å³ per cell
E ... -68.327 eV for the cell shown
SG ... Amm2, No. 38

a = 8.012 Å, b = 4.573 Å, c = 10.736 Å
α = 90.00°, β = 90.00°, γ = 90.00°
Sites, in units of the cell vectors:
1 Ba 0.000 0.000 0.000
2 Ba 0.000 0.500 0.500
3 Y 0.500 0.000 0.865
4 Y 0.500 0.500 0.365
5 In 0.209 0.000 0.290
6 In 0.209 0.500 0.790
7 In 0.312 0.000 0.579
8 In 0.312 0.500 0.079
9 In 0.688 0.000 0.579
10 In 0.688 0.500 0.079
11 In 0.791 0.000 0.290
12 In 0.791 0.500 0.790
13 Pd 0.000 0.000 0.717
14 Pd 0.000 0.500 0.217
15 Pd 0.500 0.000 0.149
16 Pd 0.500 0.500 0.649

---

Material: BaYIn2Pd4
Method: DFT, PBE
State: optimized geometry

Values from the calculation:
V ... 183.0 Å³ per cell
E ... -40.226 eV for the cell shown
SG ... P-6m2, No. 187

a = 4.647 Å, b = 4.647 Å, c = 9.785 Å
α = 90.00°, β = 90.00°, γ = 120.00°
Sites, in units of the cell vectors:
1 Ba 0.000 0.000 0.000
2 Y 0.333 0.667 0.500
3 In 0.667 0.333 0.275
4 In 0.667 0.333 0.725
5 Pd 0.000 0.000 0.349
6 Pd 0.000 0.000 0.651
7 Pd 0.333 0.667 0.209
8 Pd 0.333 0.667 0.791

---

Material: BaZnIn2Pd
Method: DFT, PBE
State: optimized geometry

Values from the calculation:
V ... 260.2 Å³ per cell
E ... -32.189 eV for the cell shown
SG ... P4/nmm, No. 129

a = 4.806 Å, b = 4.806 Å, c = 11.266 Å
α = 90.00°, β = 90.00°, γ = 90.00°
Sites, in units of the cell vectors:
1 Ba 0.250 0.250 0.246
2 Ba 0.750 0.750 0.754
3 Zn 0.250 0.750 0.000
4 Zn 0.750 0.250 0.000
5 In 0.250 0.250 0.868
6 In 0.250 0.750 0.500
7 In 0.750 0.250 0.500
8 In 0.750 0.750 0.132
9 Pd 0.250 0.250 0.623
10 Pd 0.750 0.750 0.377

---

Material: BaPrIn
Method: DFT, PBE
State: optimized geometry

Values from the calculation:
V ... 466.6 Å³ per cell
E ... -36.292 eV for the cell shown
SG ... F-43m, No. 216

a = 7.756 Å, b = 7.756 Å, c = 7.756 Å
α = 90.00°, β = 90.00°, γ = 90.00°
Sites, in units of the cell vectors:
1 Ba 0.000 0.000 0.000
2 Ba 0.000 0.500 0.500
3 Ba 0.500 0.000 0.500
4 Ba 0.500 0.500 0.000
5 Pr 0.250 0.250 0.250
6 Pr 0.250 0.750 0.750
7 Pr 0.750 0.250 0.750
8 Pr 0.750 0.750 0.250
9 In 0.000 0.000 0.500
10 In 0.000 0.500 0.000
11 In 0.500 0.000 0.000
12 In 0.500 0.500 0.500

---

Material: BaPrInTe3
Method: DFT, PBE
State: optimized geometry

Values from the calculation:
V ... 433.2 Å³ per cell
E ... -50.574 eV for the cell shown
SG ... Cmcm, No. 63

a = 8.576 Å, b = 8.576 Å, c = 11.193 Å
α = 90.00°, β = 90.00°, γ = 148.26°
Sites, in units of the cell vectors:
1 Ba 0.233 0.767 0.750
2 Ba 0.767 0.233 0.250
3 Pr 0.000 0.000 0.000
4 Pr 0.000 0.000 0.500
5 In 0.486 0.514 0.250
6 In 0.514 0.486 0.750
7 Te 0.111 0.889 0.250
8 Te 0.361 0.639 0.041
9 Te 0.361 0.639 0.459
10 Te 0.639 0.361 0.541
11 Te 0.639 0.361 0.959
12 Te 0.889 0.111 0.750

---

Number 1: density 5.89 g/cm3. Number 2: density 7.16 g/cm3. Number 3: density 8.61 g/cm3. Number 4: density 7.59 g/cm3. Number 5: density 8.00 g/cm3. Number 6: density 6.88 g/cm3. Number 7: density 5.60 g/cm3. Number 8: density 5.95 g/cm3.